Run w
# Pa2VPt

A geometry-optimized Pa2VPt structure (PBE-GGA, Alexandria).

Geometry as POSCAR:
```
Pa2VPt
1.0
-2.2330 -1.7565 -0.9802
0.2414 -2.9891 0.1989
-5.0374 -1.3050 9.2066
Pa Pt V
2 1 1
Direct
0.0880 0.0880 0.7358
0.9120 0.9120 0.2642
0.0000 0.0000 0.0000
0.5000 0.5000 0.5000
```

Output
Crystal system = trigonal
DOS at the Fermi energy = 1.28 states/eV per atom
Symmetry = R-3m, No. 166



Run x
# Pa2VPt

A geometry-optimized Pa2VPt structure (PBE-GGA, Alexandria).

Geometry as POSCAR:
```
Pa2VPt
1.0
-0.7531 2.0779 -3.7527
-4.2494 -0.1090 0.7924
0.2841 3.7986 2.0463
Pa Pt V
2 1 1
Direct
0.0000 0.0000 0.5000
0.0000 0.5000 0.0000
0.5000 0.5000 0.5000
0.5000 0.0000 0.0000
```

Output
Crystal system = tetragonal
DOS at the Fermi energy = 1.79 states/eV per atom
Symmetry = P4/mmm, No. 123



Which one sits at the top of the stability order? run x does.



Run w
# PaVPt2

A geometry-optimized PaVPt2 structure (PBE-GGA, Alexandria).

Geometry as POSCAR:
```
PaVPt2
1.0
-0.3724 1.9169 -3.9860
2.2760 -1.6054 -3.4560
-2.8385 -2.6586 -3.4846
Pa Pt V
1 2 1
Direct
0.5000 0.5000 0.5000
0.7162 0.7162 0.8513
0.2838 0.2838 0.1487
0.0000 0.0000 0.0000
```

Output
Crystal system = trigonal
DOS at the Fermi energy = 1.26 states/eV per atom
Symmetry = R-3m, No. 166



Run x
# PaVPt2

A geometry-optimized PaVPt2 structure (PBE-GGA, Alexandria).

Geometry as POSCAR:
```
PaVPt2
1.0
3.2356 0.0000 0.0000
0.0000 3.2356 0.0000
0.0000 0.0000 6.8945
Pa Pt V
1 2 1
Direct
0.5000 0.5000 0.5000
0.0000 0.0000 0.7935
0.0000 0.0000 0.2065
0.5000 0.5000 0.0000
```

Output
Crystal system = tetragonal
DOS at the Fermi energy = 1.73 states/eV per atom
Symmetry = P4/mmm, No. 123



Which one sits at the top of the stability order? run w does.



Run w
# PaZn4Pt

A geometry-optimized PaZn4Pt structure (PBE-GGA, Alexandria).

Geometry as POSCAR:
```
PaZn4Pt
1.0
-1.1565 -1.4901 4.9149
3.2972 -3.1390 2.6436
2.7711 1.9068 4.0495
Zn Pa Pt
4 1 1
Direct
0.6241 0.6241 0.1277
0.6241 0.1277 0.6241
0.6241 0.6241 0.6241
0.1277 0.6241 0.6241
0.0000 0.0000 0.0000
0.2500 0.2500 0.2500
```

Output
Crystal system = cubic
DOS at the Fermi energy = 0.91 states/eV per atom
Symmetry = F-43m, No. 216



Run x
# PaZn4Pt

A geometry-optimized PaZn4Pt structure (PBE-GGA, Alexandria).

Geometry as POSCAR:
```
PaZn4Pt
1.0
4.2259 0.0000 0.0000
0.0000 7.0582 0.0000
0.0000 0.0000 7.2146
Pa Zn Pt
2 8 2
Direct
0.0000 0.6246 0.7500
0.0000 0.3754 0.2500
0.0000 0.0000 0.5000
0.0000 0.0000 0.0000
0.5000 0.9514 0.7500
0.5000 0.0486 0.2500
0.5000 0.6886 0.0473
0.5000 0.3114 0.9527
0.5000 0.6886 0.4527
0.5000 0.3114 0.5473
0.0000 0.2427 0.7500
0.0000 0.7573 0.2500
```

Output
Crystal system = orthorhombic
DOS at the Fermi energy = 0.57 states/eV per atom
Symmetry = Pmma, No. 51



Which one sits at the top of the stability order? run x does.